Computed, not measured: a relaxed LiCuRe2Cl crystal at the PBE-GGA level of DFT.

CIF file:
```
data_LiCuRe2Cl
_cell_length_a 4.353
_cell_length_b 4.353
_cell_length_c 4.425
_cell_angle_alpha 90.00
_cell_angle_beta 90.00
_cell_angle_gamma 90.00
_space_group_name_H-M_alt 'P 4/m m m'
_space_group_IT_number 123
_space_group_name_Hall '-P 4 2'
loop_
_atom_site_label
_atom_site_type_symbol
_atom_site_fract_x
_atom_site_fract_y
_atom_site_fract_z
Li1 Li 0.000 0.000 0.000
Cu1 Cu 0.500 0.500 0.000
Re1 Re 0.000 0.500 0.500
Cl1 Cl 0.500 0.500 0.500
```

Results
E_form (uncorrected), eV per formula unit: 7.777
E, eV per atom: -4.9951